Record 1
# LaNiO3

Crystalline LaNiO3 at its relaxed geometry (GGA+U, the Alexandria database).

- uncorrected energy (eV/atom) = -6.353
- total magnetization (μB per formula unit) = 1.00
- SG = P2_1/m

a b c (Å): 3.900 5.463 6.019
angles (deg): 90.00 94.71 90.00
Fractional positions:
La (0.215, 0.250, 0.373)
La (0.785, 0.750, 0.627)
Ni (0.429, 0.750, 0.064)
Ni (0.571, 0.250, 0.936)
O (0.261, 0.750, 0.394)
O (0.300, 0.524, 0.833)
O (0.300, 0.976, 0.833)
O (0.700, 0.024, 0.167)
O (0.700, 0.476, 0.167)
O (0.739, 0.250, 0.606)

=====

Record 2
# LaNi2O2

Crystalline LaNi2O2 at its relaxed geometry (GGA+U, the Alexandria database).

- total magnetization (μB per formula unit) = 1.00
- SG = P4/mbm
- polymorph energy (0 for the lowest one) (eV/atom) = 0.576

a b c (Å): 6.582 6.582 3.493
angles (deg): 90.00 90.00 90.00
Fractional positions:
La (0.000, 0.000, 0.000)
La (0.500, 0.500, 0.000)
Ni (0.124, 0.376, 0.000)
Ni (0.376, 0.876, 0.000)
Ni (0.624, 0.124, 0.000)
Ni (0.876, 0.624, 0.000)
O (0.204, 0.296, 0.500)
O (0.296, 0.796, 0.500)
O (0.704, 0.204, 0.500)
O (0.796, 0.704, 0.500)

=====

Record 3
# LaNiO3

Crystalline LaNiO3 at its relaxed geometry (GGA+U, the Alexandria database).

- uncorrected energy (eV/atom) = -6.131
- total magnetization (μB per formula unit) = 1.62
- SG = I-4m2

a b c (Å): 9.443 9.443 9.443
angles (deg): 155.61 155.61 34.77
Fractional positions:
La (0.097, 0.097, 0.000)
La (0.903, 0.903, 0.000)
Ni (0.500, 0.500, 0.000)
Ni (0.750, 0.250, 0.500)
O (0.013, 0.513, 0.500)
O (0.098, 0.341, 0.758)
O (0.487, 0.987, 0.500)
O (0.583, 0.341, 0.242)
O (0.659, 0.417, 0.758)
O (0.659, 0.902, 0.242)

=====

Record 4
# LaNiO3

Crystalline LaNiO3 at its relaxed geometry (GGA+U, the Alexandria database).

- uncorrected energy (eV/atom) = -6.341
- total magnetization (μB per formula unit) = 2.17
- SG = Cmcm

a b c (Å): 8.750 8.750 3.859
angles (deg): 90.00 90.00 141.31
Fractional positions:
La (0.200, 0.800, 0.750)
La (0.800, 0.200, 0.250)
Ni (0.399, 0.601, 0.750)
Ni (0.601, 0.399, 0.250)
O (0.075, 0.438, 0.750)
O (0.438, 0.075, 0.250)
O (0.500, 0.500, 0.000)
O (0.500, 0.500, 0.500)
O (0.562, 0.925, 0.750)
O (0.925, 0.562, 0.250)